Computed, not measured: a geometry-optimized ZrScCoGe structure at the PBE-GGA level of DFT.

Properties
final energy = -6.740 eV/atom

a = 4.5501 Å, b = 4.5501 Å, c = 4.5501 Å
α = 60.00°, β = 60.00°, γ = 60.00°
Site moments in Bohr magnetons follow the coordinates.
Sites, in units of the cell vectors:
Sc1 0.2500 0.2500 0.2500  0.65
Ge1 0.0000 0.0000 0.0000  0.04
Zr1 0.5000 0.5000 0.5000  0.45
Co1 0.7500 0.7500 0.7500  0.59